The following is a DFT calculation (GGA-PBE) of a geometry-optimized SnBiF6 structure.

- total energy (eV per atom) = -4.65
- energy above the most stable polymorph in this dataset (eV per atom) = 0.000
- energy relative to the elements, uncorrected (eV per atom) = -2.265

```
SnBiF6
1.0
5.183 -0.051 -0.012
-1.975 4.792 -0.012
-0.608 -0.898 5.582
Sn Bi F
1 1 6
Direct
0.500 0.500 0.500 Sn
0.000 0.000 0.000 Bi
0.244 0.244 0.730 F
0.427 0.113 0.249 F
0.756 0.756 0.270 F
0.887 0.573 0.751 F
0.573 0.887 0.751 F
0.113 0.427 0.249 F
```